No. 1
Below is a geometry-optimized Li6TmSn6 structure, with properties calculated at the PBE level.

```
Li6TmSn6
1.0
5.782 0.000 0.000
-2.891 5.007 0.000
0.000 0.000 9.306
Li Tm Sn
6 1 6
Cartesian
-1.445 2.504 2.289 Li
-1.445 2.504 7.018 Li
2.891 0.000 2.289 Li
2.891 0.000 7.018 Li
1.445 2.504 2.289 Li
1.445 2.504 7.018 Li
0.000 0.000 0.000 Tm
0.000 0.000 3.217 Sn
0.000 0.000 6.090 Sn
0.000 3.338 0.000 Sn
0.000 3.338 4.653 Sn
2.891 1.669 0.000 Sn
2.891 1.669 4.653 Sn
```

Values from the calculation:
Space group: P6/mmm, No. 191
DOS(E_F) in states/eV per cell: 4.09
Magnetization in Bohr magnetons per cell: 0.00
Energy of formation in eV/atom: -0.350



No. 2
Below is a geometry-optimized NbMoPtRh structure, with properties calculated at the PBE level.

```
NbMoPtRh
1.0
3.936 0.000 0.000
0.000 3.950 0.000
0.000 0.000 4.027
Nb Mo Pt Rh
1 1 1 1
Cartesian
0.000 0.000 0.000 Nb
1.968 1.975 0.000 Mo
0.000 1.975 2.014 Pt
1.968 0.000 2.014 Rh
```

Values from the calculation:
Space group: Pmmm, No. 47
DOS(E_F) in states/eV per cell: 1.90
Magnetization in Bohr magnetons per cell: 0.00
Energy of formation in eV/atom: -0.444



No. 3
Below is a geometry-optimized K2HgAsSe4 structure, with properties calculated at the PBE level.

```
K2HgAsSe4
1.0
8.059 0.000 0.000
-2.976 7.820 0.000
-2.625 -2.389 8.370
K Hg As Se
4 2 2 8
Cartesian
0.000 0.000 0.000 K
-3.232 1.965 6.906 K
0.458 1.942 5.772 K
3.985 3.107 2.868 K
0.771 -0.953 3.535 Hg
1.093 7.037 2.239 Hg
0.010 3.314 2.099 As
-1.052 5.721 6.580 As
-1.079 1.268 3.008 Se
-1.864 5.031 1.560 Se
-3.251 5.333 5.677 Se
1.894 2.677 0.284 Se
-0.704 3.962 8.277 Se
1.138 4.412 3.835 Se
1.630 -0.099 7.950 Se
3.075 0.286 4.323 Se
```

Values from the calculation:
Space group: P1, No. 1
Magnetization in Bohr magnetons per cell: 0.00
Total DFT energy (no corrections) in eV/atom: -3.18



No. 4
Below is a geometry-optimized Sn2AuN4 structure, with properties calculated at the PBE level.

```
Sn2AuN4
1.0
-2.089 2.089 5.703
2.089 -2.089 5.703
2.089 2.089 -5.703
Sn Au N
2 1 4
Cartesian
0.000 0.000 1.557 Sn
0.000 0.000 9.850 Sn
0.000 0.000 5.703 Au
2.089 0.000 0.000 N
0.000 0.000 3.612 N
0.000 2.089 0.000 N
0.000 0.000 7.795 N
```

Values from the calculation:
Space group: I4/mmm, No. 139
DOS(E_F) in states/eV per cell: 3.61
Magnetization in Bohr magnetons per cell: 1.21
Total DFT energy (no corrections) in eV/atom: -4.82



No. 5
Below is a geometry-optimized SmEr2Tm7 structure, with properties calculated at the PBE level.

```
SmEr2Tm7
1.0
4.330 -8.110 0.000
4.330 8.110 0.000
0.000 0.000 5.435
Sm Er Tm
1 2 7
Cartesian
0.000 0.000 0.000 Sm
4.330 3.275 2.718 Er
4.330 -3.275 2.718 Er
1.529 1.851 2.718 Tm
4.330 4.736 0.000 Tm
1.529 -1.851 2.718 Tm
4.330 0.000 2.718 Tm
7.131 1.851 2.718 Tm
4.330 -4.736 0.000 Tm
7.131 -1.851 2.718 Tm
```

Values from the calculation:
Space group: Cmmm, No. 65
DOS(E_F) in states/eV per cell: 15.36
Magnetization in Bohr magnetons per cell: 0.00
Energy of formation in eV/atom: 0.719



No. 6
Below is a geometry-optimized Ac6GeIr2I2 structure, with properties calculated at the PBE level.

```
Ac6GeIr2I2
1.0
3.950 -6.704 0.000
3.950 6.704 0.000
-2.436 0.000 8.318
Ac Ge Ir I
6 1 2 2
Cartesian
0.105 2.322 6.723 Ac
1.178 0.000 1.570 Ac
0.105 -2.322 6.723 Ac
5.358 2.322 1.596 Ac
4.285 0.000 6.748 Ac
5.358 -2.322 1.596 Ac
3.950 0.000 0.000 Ge
3.950 4.435 0.000 Ir
3.950 -4.435 0.000 Ir
2.732 2.150 4.159 I
2.732 -2.150 4.159 I
```

Values from the calculation:
Space group: C2/m, No. 12
DOS(E_F) in states/eV per cell: 9.67
Magnetization in Bohr magnetons per cell: 0.10
Total DFT energy (no corrections) in eV/atom: -5.38



No. 7
Below is a geometry-optimized KCdCo3 structure, with properties calculated at the PBE level.

```
KCdCo3
1.0
4.542 0.000 0.000
0.000 4.542 0.000
0.000 0.000 4.542
K Cd Co
1 1 3
Cartesian
0.000 0.000 0.000 K
2.271 2.271 2.271 Cd
0.000 0.000 2.271 Co
0.000 2.271 0.000 Co
2.271 0.000 0.000 Co
```

Values from the calculation:
Space group: Pm-3m, No. 221
DOS(E_F) in states/eV per cell: 13.71
Magnetization in Bohr magnetons per cell: 4.14
Energy of formation in eV/atom: 2.217